# 1
A PBEsol-optimized structure of Re2HgBr, computed with SCAN.

## Properties
SG: No. 123
ΔE_f (raw) in meV/atom: 1796
D(E_F) in states/eV/atom: 0.8969
DFT total energy in eV/atom: -55.66

abc: 4.572 4.572 3.128
angles: 90.00 90.00 90.00
Fractional positions:
Br1 0.500 0.500 0.500
Re1 0.000 0.500 0.000
Re2 0.500 0.000 0.000
Hg1 0.000 0.000 0.500

---

# 2
A PBEsol-optimized structure of ReHgBr, computed with SCAN.

## Properties
SG: No. 216
ΔE_f (raw) in meV/atom: 1527
D(E_F) in states/eV/atom: 0.8825
DFT total energy in eV/atom: -51.38

abc: 4.467 4.467 4.467
angles: 60.00 60.00 60.00
Fractional positions:
Br1 0.000 0.000 0.000
Hg1 0.500 0.500 0.500
Re1 0.250 0.250 0.250

---

# 3
A PBEsol-optimized structure of ReHg2Br, computed with SCAN.

## Properties
SG: No. 119
ΔE_f (raw) in meV/atom: 1254
D(E_F) in states/eV/atom: 0.4340
DFT total energy in eV/atom: -55.47

abc: 4.264 4.264 5.300
angles: 113.72 113.72 90.00
Fractional positions:
Hg1 0.750 0.250 0.500
Re1 0.500 0.500 0.000
Hg2 0.000 0.000 0.000
Br1 0.250 0.750 0.500

---

# 4
A PBEsol-optimized structure of Re2HgBr, computed with SCAN.

## Properties
SG: No. 65
ΔE_f (raw) in meV/atom: 1806
D(E_F) in states/eV/atom: 1.0395
DFT total energy in eV/atom: -55.65

abc: 2.845 4.911 4.911
angles: 103.47 90.00 90.00
Fractional positions:
Re1 0.000 0.000 0.500
Hg1 0.500 0.500 0.500
Br1 0.500 0.000 0.000
Re2 0.000 0.500 0.000

---

# 5
A PBEsol-optimized structure of ReHgSeBr2, computed with SCAN.

## Properties
SG: No. 123
ΔE_f (raw) in meV/atom: 303
D(E_F) in states/eV/atom: 0.4813
DFT total energy in eV/atom: -39.35

abc: 4.694 5.162 5.162
angles: 90.00 90.00 90.00
Fractional positions:
Re1 0.000 0.000 0.000
Br1 0.000 0.000 0.500
Br2 0.000 0.500 0.000
Se1 0.500 0.000 0.000
Hg1 0.500 0.500 0.500

---

# 6
A PBEsol-optimized structure of Hg2RhBr, computed with SCAN.

## Properties
SG: No. 123
ΔE_f (raw) in meV/atom: 425
D(E_F) in states/eV/atom: 0.6235
DFT total energy in eV/atom: -46.97

abc: 3.373 4.817 4.817
angles: 90.00 90.00 90.00
Fractional positions:
Br1 0.500 0.000 0.000
Rh1 0.500 0.500 0.500
Hg1 0.000 0.000 0.500
Hg2 0.000 0.500 0.000

---

# 7
A PBEsol-optimized structure of Hg2RhBr, computed with SCAN.

## Properties
SG: No. 35
ΔE_f (raw) in meV/atom: 231
D(E_F) in states/eV/atom: 0.5330
DFT total energy in eV/atom: -47.16

abc: 3.250 3.250 8.982
angles: 90.00 90.00 117.08
Fractional positions:
Hg1 0.000 0.000 0.994
Br1 0.500 0.500 0.296
Hg2 0.500 0.500 0.720
Rh1 0.000 0.000 0.489

---

# 8
A PBEsol-optimized structure of HgRhBr2, computed with SCAN.

## Properties
SG: No. 123
ΔE_f (raw) in meV/atom: 242
D(E_F) in states/eV/atom: 0.4918
DFT total energy in eV/atom: -34.97

abc: 3.180 3.180 9.013
angles: 90.00 90.00 90.00
Fractional positions:
Hg1 0.500 0.500 0.000
Rh1 0.500 0.500 0.500
Br1 0.000 0.000 0.328
Br2 0.000 0.000 0.672